No. 1
Computed, not measured: a geometry-optimized Ce4PmIn5 structure at the GGA-PBE level of DFT. Values from VASP.

Summary:
Total magnetic moment   4.8 μB/cell
ΔE_f   -0.3476 eV/atom
Energy   -0.33555 Ry/atom
Symmetry   P4/mmm

Geometry as Quantum ESPRESSO input:
```
&SYSTEM
  ibrav = 0, nat = 10, ntyp = 3
/
ATOMIC_SPECIES
Ce 140.12 Ce.upf
Pm 145.00 Pm.upf
In 114.82 In.upf
CELL_PARAMETERS angstrom
4.139 0.000 0.000
0.000 4.139 0.000
0.000 0.000 16.405
ATOMIC_POSITIONS crystal
Ce 0.000 0.000 0.101
Ce 0.000 0.000 0.290
Ce 0.000 0.000 0.710
Ce 0.000 0.000 0.899
Pm 0.000 0.000 0.500
In 0.500 0.500 0.000
In 0.500 0.500 0.196
In 0.500 0.500 0.398
In 0.500 0.500 0.602
In 0.500 0.500 0.804
```



No. 2
Computed, not measured: a geometry-optimized CePmIn4 structure at the GGA-PBE level of DFT. Values from VASP.

Summary:
Total magnetic moment   0.9 μB/cell
ΔE_f   -0.4011 eV/atom
Polymorph energy (0 for the lowest one)   0.000 eV/atom
Energy   -0.29454 Ry/atom
Symmetry   Imm2

Geometry as Quantum ESPRESSO input:
```
&SYSTEM
  ibrav = 0, nat = 6, ntyp = 3
/
ATOMIC_SPECIES
Ce 140.12 Ce.upf
Pm 145.00 Pm.upf
In 114.82 In.upf
CELL_PARAMETERS angstrom
-2.519 3.677 4.352
2.519 -3.677 4.352
2.519 3.677 -4.352
ATOMIC_POSITIONS crystal
Ce 0.000 0.000 0.000
Pm 0.492 0.992 0.500
In 0.080 0.330 0.750
In 0.423 0.663 0.760
In 0.580 0.330 0.250
In 0.903 0.663 0.240
```



No. 3
Computed, not measured: a geometry-optimized Ce2Pm2In structure at the GGA-PBE level of DFT. Values from VASP.

Summary:
Total magnetic moment   0.0 μB/cell
ΔE_f   0.1480 eV/atom
Energy   -0.34350 Ry/atom
Symmetry   I4/mmm

Geometry as Quantum ESPRESSO input:
```
&SYSTEM
  ibrav = 0, nat = 5, ntyp = 3
/
ATOMIC_SPECIES
Ce 140.12 Ce.upf
Pm 145.00 Pm.upf
In 114.82 In.upf
CELL_PARAMETERS angstrom
-1.916 1.916 10.558
1.916 -1.916 10.558
1.916 1.916 -10.558
ATOMIC_POSITIONS crystal
Ce 0.250 0.750 0.500
Ce 0.750 0.250 0.500
Pm 0.093 0.093 0.000
Pm 0.907 0.907 0.000
In 0.500 0.500 0.000
```



No. 4
Computed, not measured: a geometry-optimized CePm4In5 structure at the GGA-PBE level of DFT. Values from VASP.

Summary:
Total magnetic moment   1.0 μB/cell
ΔE_f   -0.4599 eV/atom
Energy   -0.31772 Ry/atom
Symmetry   P4/mmm

Geometry as Quantum ESPRESSO input:
```
&SYSTEM
  ibrav = 0, nat = 10, ntyp = 3
/
ATOMIC_SPECIES
Ce 140.12 Ce.upf
Pm 145.00 Pm.upf
In 114.82 In.upf
CELL_PARAMETERS angstrom
3.648 0.000 0.000
0.000 3.648 0.000
0.000 0.000 21.402
ATOMIC_POSITIONS crystal
Ce 0.000 0.000 0.000
Pm 0.000 0.000 0.202
Pm 0.000 0.000 0.400
Pm 0.000 0.000 0.600
Pm 0.000 0.000 0.798
In 0.500 0.500 0.101
In 0.500 0.500 0.301
In 0.500 0.500 0.500
In 0.500 0.500 0.699
In 0.500 0.500 0.899
```



No. 5
Computed, not measured: a geometry-optimized CePmInPt structure at the GGA-PBE level of DFT. Values from VASP.

Summary:
Total magnetic moment   0.7 μB/cell
ΔE_f   -0.5823 eV/atom
Energy   -0.40044 Ry/atom
Symmetry   F-43m

Geometry as Quantum ESPRESSO input:
```
&SYSTEM
  ibrav = 0, nat = 4, ntyp = 4
/
ATOMIC_SPECIES
Ce 140.12 Ce.upf
Pm 145.00 Pm.upf
In 114.82 In.upf
Pt 195.08 Pt.upf
CELL_PARAMETERS angstrom
0.000 3.721 3.721
3.721 0.000 3.721
3.721 3.721 0.000
ATOMIC_POSITIONS crystal
Ce 0.000 0.000 0.000
Pm 0.500 0.500 0.500
In 0.250 0.250 0.250
Pt 0.750 0.750 0.750
```



No. 6
Computed, not measured: a geometry-optimized CePmInRh structure at the GGA-PBE level of DFT. Values from VASP.

Summary:
Total magnetic moment   0.6 μB/cell
ΔE_f   -0.3900 eV/atom
Energy   -0.41039 Ry/atom
Symmetry   F-43m

Geometry as Quantum ESPRESSO input:
```
&SYSTEM
  ibrav = 0, nat = 4, ntyp = 4
/
ATOMIC_SPECIES
Ce 140.12 Ce.upf
Pm 145.00 Pm.upf
In 114.82 In.upf
Rh 102.91 Rh.upf
CELL_PARAMETERS angstrom
0.000 3.689 3.689
3.689 0.000 3.689
3.689 3.689 0.000
ATOMIC_POSITIONS crystal
Ce 0.000 0.000 0.000
Pm 0.500 0.500 0.500
In 0.750 0.750 0.750
Rh 0.250 0.250 0.250
```



No. 7
Computed, not measured: a geometry-optimized CePmInRu structure at the GGA-PBE level of DFT. Values from VASP.

Summary:
Total magnetic moment   0.4 μB/cell
ΔE_f   -0.3625 eV/atom
Polymorph energy (0 for the lowest one)   0.000 eV/atom
Energy   -0.44373 Ry/atom
Symmetry   P4mm

Geometry as Quantum ESPRESSO input:
```
&SYSTEM
  ibrav = 0, nat = 4, ntyp = 4
/
ATOMIC_SPECIES
Ce 140.12 Ce.upf
Pm 145.00 Pm.upf
In 114.82 In.upf
Ru 101.07 Ru.upf
CELL_PARAMETERS angstrom
3.403 0.000 0.000
0.000 3.403 0.000
0.000 0.000 8.516
ATOMIC_POSITIONS crystal
Ce 0.000 0.000 0.000
Pm 0.000 0.000 0.412
In 0.500 0.500 0.706
Ru 0.500 0.500 0.194
```



No. 8
Computed, not measured: a geometry-optimized CePmInRu structure at the GGA-PBE level of DFT. Values from VASP.

Summary:
Total magnetic moment   0.6 μB/cell
ΔE_f   -0.1811 eV/atom
Polymorph energy (0 for the lowest one)   0.181 eV/atom
Energy   -0.43039 Ry/atom
Symmetry   F-43m

Geometry as Quantum ESPRESSO input:
```
&SYSTEM
  ibrav = 0, nat = 4, ntyp = 4
/
ATOMIC_SPECIES
Ce 140.12 Ce.upf
Pm 145.00 Pm.upf
In 114.82 In.upf
Ru 101.07 Ru.upf
CELL_PARAMETERS angstrom
0.000 3.664 3.664
3.664 0.000 3.664
3.664 3.664 0.000
ATOMIC_POSITIONS crystal
Ce 0.000 0.000 0.000
Pm 0.500 0.500 0.500
In 0.250 0.250 0.250
Ru 0.750 0.750 0.750
```



No. 9
Computed, not measured: a geometry-optimized CePmInSb structure at the GGA-PBE level of DFT. Values from VASP.

Summary:
Total magnetic moment   1.7 μB/cell
Uncorrected formation energy   -0.5566 eV/atom
Energy   -0.36330 Ry/atom
Symmetry   F-43m

Geometry as Quantum ESPRESSO input:
```
&SYSTEM
  ibrav = 0, nat = 4, ntyp = 4
/
ATOMIC_SPECIES
Ce 140.12 Ce.upf
Pm 145.00 Pm.upf
In 114.82 In.upf
Sb 121.76 Sb.upf
CELL_PARAMETERS angstrom
0.000 3.856 3.856
3.856 0.000 3.856
3.856 3.856 0.000
ATOMIC_POSITIONS crystal
Ce 0.000 0.000 0.000
Pm 0.500 0.500 0.500
In 0.750 0.750 0.750
Sb 0.250 0.250 0.250
```



No. 10
Computed, not measured: a geometry-optimized CePmScIn structure at the GGA-PBE level of DFT. Values from VASP.

Summary:
Total magnetic moment   0.0 μB/cell
ΔE_f   -0.0798 eV/atom
Energy   -0.36884 Ry/atom
Symmetry   F-43m

Geometry as Quantum ESPRESSO input:
```
&SYSTEM
  ibrav = 0, nat = 4, ntyp = 4
/
ATOMIC_SPECIES
Ce 140.12 Ce.upf
Pm 145.00 Pm.upf
Sc 44.96 Sc.upf
In 114.82 In.upf
CELL_PARAMETERS angstrom
0.000 3.762 3.762
3.762 0.000 3.762
3.762 3.762 0.000
ATOMIC_POSITIONS crystal
Ce 0.000 0.000 0.000
Pm 0.250 0.250 0.250
Sc 0.750 0.750 0.750
In 0.500 0.500 0.500
```



No. 11
Computed, not measured: a geometry-optimized CePmInSi structure at the GGA-PBE level of DFT. Values from VASP.

Summary:
Total magnetic moment   1.2 μB/cell
Uncorrected formation energy   -0.3460 eV/atom
Energy   -0.37172 Ry/atom
Symmetry   F-43m

Geometry as Quantum ESPRESSO input:
```
&SYSTEM
  ibrav = 0, nat = 4, ntyp = 4
/
ATOMIC_SPECIES
Ce 140.12 Ce.upf
Pm 145.00 Pm.upf
In 114.82 In.upf
Si 28.09 Si.upf
CELL_PARAMETERS angstrom
0.000 3.731 3.731
3.731 0.000 3.731
3.731 3.731 0.000
ATOMIC_POSITIONS crystal
Ce 0.000 0.000 0.000
Pm 0.500 0.500 0.500
In 0.250 0.250 0.250
Si 0.750 0.750 0.750
```



No. 12
Computed, not measured: a geometry-optimized CePmSmIn structure at the GGA-PBE level of DFT. Values from VASP.

Summary:
Total magnetic moment   0.0 μB/cell
ΔE_f   -0.0901 eV/atom
Energy   -0.33997 Ry/atom
Symmetry   F-43m

Geometry as Quantum ESPRESSO input:
```
&SYSTEM
  ibrav = 0, nat = 4, ntyp = 4
/
ATOMIC_SPECIES
Ce 140.12 Ce.upf
Pm 145.00 Pm.upf
Sm 150.36 Sm.upf
In 114.82 In.upf
CELL_PARAMETERS angstrom
0.000 3.879 3.879
3.879 0.000 3.879
3.879 3.879 0.000
ATOMIC_POSITIONS crystal
Ce 0.000 0.000 0.000
Pm 0.250 0.250 0.250
Sm 0.750 0.750 0.750
In 0.500 0.500 0.500
```



No. 13
Computed, not measured: a geometry-optimized CePmSm2In4 structure at the GGA-PBE level of DFT. Values from VASP.

Summary:
Total magnetic moment   1.0 μB/cell
ΔE_f   -0.4472 eV/atom
Energy   -0.31838 Ry/atom
Symmetry   R-3m

Geometry as Quantum ESPRESSO input:
```
&SYSTEM
  ibrav = 0, nat = 8, ntyp = 4
/
ATOMIC_SPECIES
Ce 140.12 Ce.upf
Pm 145.00 Pm.upf
Sm 150.36 Sm.upf
In 114.82 In.upf
CELL_PARAMETERS angstrom
2.718 1.569 8.896
-2.718 1.569 8.896
0.000 -3.138 8.896
ATOMIC_POSITIONS crystal
Ce 0.000 0.000 0.000
Pm 0.500 0.500 0.500
Sm 0.250 0.250 0.250
Sm 0.750 0.750 0.750
In 0.125 0.125 0.125
In 0.375 0.375 0.375
In 0.625 0.625 0.625
In 0.875 0.875 0.875
```



No. 14
Computed, not measured: a geometry-optimized CePmInSn structure at the GGA-PBE level of DFT. Values from VASP.

Summary:
Total magnetic moment   1.3 μB/cell
ΔE_f   -0.4846 eV/atom
Polymorph energy (0 for the lowest one)   0.044 eV/atom
Energy   -0.35581 Ry/atom
Symmetry   F-43m

Geometry as Quantum ESPRESSO input:
```
&SYSTEM
  ibrav = 0, nat = 4, ntyp = 4
/
ATOMIC_SPECIES
Ce 140.12 Ce.upf
Pm 145.00 Pm.upf
In 114.82 In.upf
Sn 118.71 Sn.upf
CELL_PARAMETERS angstrom
0.000 3.859 3.859
3.859 0.000 3.859
3.859 3.859 0.000
ATOMIC_POSITIONS crystal
Ce 0.000 0.000 0.000
Pm 0.500 0.500 0.500
In 0.250 0.250 0.250
Sn 0.750 0.750 0.750
```



No. 15
Computed, not measured: a geometry-optimized CePmInSn structure at the GGA-PBE level of DFT. Values from VASP.

Summary:
Total magnetic moment   1.1 μB/cell
ΔE_f   -0.5283 eV/atom
Polymorph energy (0 for the lowest one)   0.000 eV/atom
Energy   -0.35902 Ry/atom
Symmetry   I-4m2

Geometry as Quantum ESPRESSO input:
```
&SYSTEM
  ibrav = 0, nat = 4, ntyp = 4
/
ATOMIC_SPECIES
Ce 140.12 Ce.upf
Pm 145.00 Pm.upf
In 114.82 In.upf
Sn 118.71 Sn.upf
CELL_PARAMETERS angstrom
-2.504 2.504 4.476
2.504 -2.504 4.476
2.504 2.504 -4.476
ATOMIC_POSITIONS crystal
Ce 0.000 0.000 0.000
Pm 0.500 0.500 0.000
In 0.750 0.250 0.500
Sn 0.250 0.750 0.500
```



No. 16
Computed, not measured: a geometry-optimized Tb2CePmIn4 structure at the GGA-PBE level of DFT. Values from VASP.

Summary:
Total magnetic moment   0.9 μB/cell
ΔE_f   -0.4434 eV/atom
Energy   -0.31647 Ry/atom
Symmetry   R-3m

Geometry as Quantum ESPRESSO input:
```
&SYSTEM
  ibrav = 0, nat = 8, ntyp = 4
/
ATOMIC_SPECIES
Tb 158.93 Tb.upf
Ce 140.12 Ce.upf
Pm 145.00 Pm.upf
In 114.82 In.upf
CELL_PARAMETERS angstrom
2.697 1.557 8.836
-2.697 1.557 8.836
0.000 -3.114 8.836
ATOMIC_POSITIONS crystal
Tb 0.250 0.250 0.250
Tb 0.750 0.750 0.750
Ce 0.000 0.000 0.000
Pm 0.500 0.500 0.500
In 0.125 0.125 0.125
In 0.375 0.375 0.375
In 0.625 0.625 0.625
In 0.875 0.875 0.875
```



No. 17
Computed, not measured: a geometry-optimized CePmInTc structure at the GGA-PBE level of DFT. Values from VASP.

Summary:
Total magnetic moment   0.0 μB/cell
ΔE_f   -0.0415 eV/atom
Energy   -0.44016 Ry/atom
Symmetry   F-43m

Geometry as Quantum ESPRESSO input:
```
&SYSTEM
  ibrav = 0, nat = 4, ntyp = 4
/
ATOMIC_SPECIES
Ce 140.12 Ce.upf
Pm 145.00 Pm.upf
In 114.82 In.upf
Tc 98.00 Tc.upf
CELL_PARAMETERS angstrom
0.000 3.661 3.661
3.661 0.000 3.661
3.661 3.661 0.000
ATOMIC_POSITIONS crystal
Ce 0.000 0.000 0.000
Pm 0.500 0.500 0.500
In 0.250 0.250 0.250
Tc 0.750 0.750 0.750
```



No. 18
Computed, not measured: a geometry-optimized CePmThIn structure at the GGA-PBE level of DFT. Values from VASP.

Summary:
Total magnetic moment   0.4 μB/cell
ΔE_f   -0.0354 eV/atom
Energy   -0.38558 Ry/atom
Symmetry   F-43m

Geometry as Quantum ESPRESSO input:
```
&SYSTEM
  ibrav = 0, nat = 4, ntyp = 4
/
ATOMIC_SPECIES
Ce 140.12 Ce.upf
Pm 145.00 Pm.upf
Th 232.04 Th.upf
In 114.82 In.upf
CELL_PARAMETERS angstrom
0.000 3.889 3.889
3.889 0.000 3.889
3.889 3.889 0.000
ATOMIC_POSITIONS crystal
Ce 0.000 0.000 0.000
Pm 0.250 0.250 0.250
Th 0.750 0.750 0.750
In 0.500 0.500 0.500
```



No. 19
Computed, not measured: a geometry-optimized CePmTm2In4 structure at the GGA-PBE level of DFT. Values from VASP.

Summary:
Total magnetic moment   1.0 μB/cell
ΔE_f   -0.4227 eV/atom
Energy   -0.31203 Ry/atom
Symmetry   R-3m

Geometry as Quantum ESPRESSO input:
```
&SYSTEM
  ibrav = 0, nat = 8, ntyp = 4
/
ATOMIC_SPECIES
Ce 140.12 Ce.upf
Pm 145.00 Pm.upf
Tm 168.93 Tm.upf
In 114.82 In.upf
CELL_PARAMETERS angstrom
2.676 1.545 8.773
-2.676 1.545 8.773
0.000 -3.090 8.773
ATOMIC_POSITIONS crystal
Ce 0.000 0.000 0.000
Pm 0.500 0.500 0.500
Tm 0.250 0.250 0.250
Tm 0.750 0.750 0.750
In 0.125 0.125 0.125
In 0.375 0.375 0.375
In 0.625 0.625 0.625
In 0.875 0.875 0.875
```



No. 20
Computed, not measured: a geometry-optimized CePmYIn structure at the GGA-PBE level of DFT. Values from VASP.

Summary:
Total magnetic moment   1.3 μB/cell
ΔE_f   -0.0907 eV/atom
Energy   -0.37208 Ry/atom
Symmetry   F-43m

Geometry as Quantum ESPRESSO input:
```
&SYSTEM
  ibrav = 0, nat = 4, ntyp = 4
/
ATOMIC_SPECIES
Ce 140.12 Ce.upf
Pm 145.00 Pm.upf
Y 88.91 Y.upf
In 114.82 In.upf
CELL_PARAMETERS angstrom
0.000 3.888 3.888
3.888 0.000 3.888
3.888 3.888 0.000
ATOMIC_POSITIONS crystal
Ce 0.000 0.000 0.000
Pm 0.750 0.750 0.750
Y 0.500 0.500 0.500
In 0.250 0.250 0.250
```